## HgP2RuO (PBE)

Data for an optimized crystal structure of HgP2RuO.

Lattice parameters (Å, degrees): 4.964 4.964 4.001 90.00 90.00 90.00
Each line ends with the local moment (μB).
Sites, in units of the cell vectors:
P (0.000, 0.500, 0.000)  -0.03
P (0.500, 0.000, 0.000)  -0.03
Ru (0.500, 0.500, 0.500)  2.21
Hg (0.000, 0.000, 0.000)  0.01
O (0.000, 0.000, 0.500)  0.14

Values from the calculation:
Calculated total energy (Ry/atom): -0.2599
DOS(E_F) (states/eV/atom): 1.15
Formation energy (no corrections) (eV/atom): 1.53
E above lowest polymorph (eV per formula unit): 6.83

## HgP2RuO8 (PBE)

Data for an optimized crystal structure of HgP2RuO8.

Lattice parameters (Å, degrees): 4.917 4.917 7.515 95.71 95.71 65.48
Each line ends with the local moment (μB).
Sites, in units of the cell vectors:
P (0.334, 0.334, 0.794)  0.00
P (0.666, 0.666, 0.206)  0.00
O (0.207, 0.685, 0.807)  0.06
O (0.755, 0.755, 0.398)  0.02
O (0.229, 0.229, 0.949)  0.09
O (0.685, 0.207, 0.807)  0.06
O (0.793, 0.315, 0.193)  0.06
O (0.315, 0.793, 0.193)  0.06
O (0.245, 0.245, 0.602)  0.02
O (0.771, 0.771, 0.051)  0.09
Hg (0.000, 0.000, 0.500)  0.00
Ru (0.000, 0.000, 0.000)  1.39

Values from the calculation:
Calculated total energy (Ry/atom): -0.4803
DOS(E_F) (states/eV/atom): 0.26
Formation energy (no corrections) (eV/atom): -1.53

## HgP2RuO (PBE)

Data for an optimized crystal structure of HgP2RuO.

Lattice parameters (Å, degrees): 4.871 5.357 4.871 90.00 90.00 90.00
Each line ends with the local moment (μB).
Sites, in units of the cell vectors:
Hg (0.000, 0.000, 0.000)  0.00
O (0.500, 0.500, 0.500)  1.17
P (0.500, 0.000, 0.000)  -0.06
P (0.000, 0.000, 0.500)  0.00
Ru (0.000, 0.500, 0.000)  2.60

Values from the calculation:
Calculated total energy (Ry/atom): -0.2146
DOS(E_F) (states/eV/atom): 1.52
Formation energy (no corrections) (eV/atom): 2.15
E above lowest polymorph (eV per formula unit): 9.91

## HgP2RuO (PBE)

Data for an optimized crystal structure of HgP2RuO.

Lattice parameters (Å, degrees): 4.834 4.834 3.706 90.00 90.00 90.00
Each line ends with the local moment (μB).
Sites, in units of the cell vectors:
Hg (0.500, 0.500, 0.500)  0.02
O (0.000, 0.000, 0.500)  0.10
Ru (0.000, 0.000, 0.000)  0.35
P (0.500, 0.000, 0.000)  0.03
P (0.000, 0.500, 0.000)  0.03

Values from the calculation:
Calculated total energy (Ry/atom): -0.3603
DOS(E_F) (states/eV/atom): 1.05
Formation energy (no corrections) (eV/atom): 0.17
E above lowest polymorph (eV per formula unit): 0.00

## HgPSO2 (PBE)

Data for an optimized crystal structure of HgPSO2.

Lattice parameters (Å, degrees): 3.923 3.923 7.030 90.00 90.00 90.00
Each line ends with the local moment (μB).
Sites, in units of the cell vectors:
O (0.500, 0.000, 0.000)  0.33
O (0.000, 0.500, 0.000)  0.33
Hg (0.000, 0.000, 0.000)  0.05
P (0.000, 0.000, 0.500)  0.42
S (0.500, 0.500, 0.500)  -0.06

Values from the calculation:
Calculated total energy (Ry/atom): -0.2186
DOS(E_F) (states/eV/atom): 0.88
Formation energy (no corrections) (eV/atom): 0.98

## HgPSO2 (PBE)

Data for an optimized crystal structure of HgPSO2.

Lattice parameters (Å, degrees): 3.684 3.684 4.916 90.00 90.00 90.00
Sites, in units of the cell vectors:
P (0.000, 0.000, 0.500)
O (0.500, 0.000, 0.000)
O (0.000, 0.500, 0.000)
Hg (0.500, 0.500, 0.500)
S (0.000, 0.000, 0.000)

Values from the calculation:
Calculated total energy (Ry/atom): -0.2753
DOS(E_F) (states/eV/atom): 0.51
Formation energy (no corrections) (eV/atom): 0.21

## HgSbP2O8 (PBE)

Data for an optimized crystal structure of HgSbP2O8.

Lattice parameters (Å, degrees): 5.055 5.055 7.756 96.81 96.81 65.55
Sites, in units of the cell vectors:
O (0.674, 0.212, 0.800)
O (0.233, 0.233, 0.936)
O (0.767, 0.767, 0.064)
O (0.239, 0.239, 0.599)
O (0.212, 0.674, 0.800)
O (0.761, 0.761, 0.401)
O (0.326, 0.788, 0.200)
O (0.788, 0.326, 0.200)
Sb (0.000, 0.000, 0.000)
Hg (0.000, 0.000, 0.500)
P (0.667, 0.667, 0.215)
P (0.333, 0.333, 0.785)

Values from the calculation:
Calculated total energy (Ry/atom): -0.4572
DOS(E_F) (states/eV/atom): 0.18
Formation energy (no corrections) (eV/atom): -1.64

## HgSbP2O (PBE)

Data for an optimized crystal structure of HgSbP2O.

Lattice parameters (Å, degrees): 5.167 5.167 3.926 90.00 90.00 90.00
Sites, in units of the cell vectors:
Hg (0.500, 0.500, 0.500)
P (0.500, 0.000, 0.000)
P (0.000, 0.500, 0.000)
Sb (0.000, 0.000, 0.000)
O (0.000, 0.000, 0.500)

Values from the calculation:
Calculated total energy (Ry/atom): -0.2663
DOS(E_F) (states/eV/atom): 0.60
Formation energy (no corrections) (eV/atom): 0.42
E above lowest polymorph (eV per formula unit): 0.00

## HgSbP2O (PBE)

Data for an optimized crystal structure of HgSbP2O.

Lattice parameters (Å, degrees): 5.046 5.046 4.095 90.00 90.00 90.00
Sites, in units of the cell vectors:
O (0.000, 0.000, 0.500)
P (0.500, 0.000, 0.000)
P (0.000, 0.500, 0.000)
Sb (0.500, 0.500, 0.500)
Hg (0.000, 0.000, 0.000)

Values from the calculation:
Calculated total energy (Ry/atom): -0.2345
DOS(E_F) (states/eV/atom): 0.51
Formation energy (no corrections) (eV/atom): 0.85
E above lowest polymorph (eV per formula unit): 2.16

## ScHgPO2 (PBE)

Data for an optimized crystal structure of ScHgPO2.

Lattice parameters (Å, degrees): 4.156 4.156 4.977 90.00 90.00 90.00
Sites, in units of the cell vectors:
O (0.000, 0.500, 0.000)
O (0.500, 0.000, 0.000)
Sc (0.500, 0.500, 0.500)
Hg (0.000, 0.000, 0.000)
P (0.000, 0.000, 0.500)

Values from the calculation:
Calculated total energy (Ry/atom): -0.3255
DOS(E_F) (states/eV/atom): 0.38
Formation energy (no corrections) (eV/atom): -0.04
E above lowest polymorph (eV per formula unit): 4.62

## ScHgP2O (PBE)

Data for an optimized crystal structure of ScHgP2O.

Lattice parameters (Å, degrees): 4.956 4.956 4.110 90.00 90.00 90.00
Sites, in units of the cell vectors:
Hg (0.000, 0.000, 0.000)
Sc (0.500, 0.500, 0.500)
O (0.000, 0.000, 0.500)
P (0.000, 0.500, 0.000)
P (0.500, 0.000, 0.000)

Values from the calculation:
Calculated total energy (Ry/atom): -0.2962
DOS(E_F) (states/eV/atom): 0.92
Formation energy (no corrections) (eV/atom): 0.45
E above lowest polymorph (eV per formula unit): 3.51

## ScHgPO2 (PBE)

Data for an optimized crystal structure of ScHgPO2.

Lattice parameters (Å, degrees): 3.982 3.982 5.771 90.00 90.00 90.00
Each line ends with the local moment (μB).
Sites, in units of the cell vectors:
O (0.000, 0.500, 0.000)  0.46
O (0.500, 0.000, 0.000)  0.46
Sc (0.000, 0.000, 0.000)  -0.05
P (0.000, 0.000, 0.500)  0.09
Hg (0.500, 0.500, 0.500)  0.00

Values from the calculation:
Calculated total energy (Ry/atom): -0.3934
DOS(E_F) (states/eV/atom): 0.53
Formation energy (no corrections) (eV/atom): -0.96
E above lowest polymorph (eV per formula unit): 0.00

## ScHgP2O (PBE)

Data for an optimized crystal structure of ScHgP2O.

Lattice parameters (Å, degrees): 5.239 5.239 3.837 90.00 90.00 90.00
Sites, in units of the cell vectors:
Sc (0.000, 0.000, 0.000)
P (0.500, 0.000, 0.000)
P (0.000, 0.500, 0.000)
O (0.000, 0.000, 0.500)
Hg (0.500, 0.500, 0.500)

Values from the calculation:
Calculated total energy (Ry/atom): -0.3478
DOS(E_F) (states/eV/atom): 0.53
Formation energy (no corrections) (eV/atom): -0.25
E above lowest polymorph (eV per formula unit): 0.00

## HgP2SeO8 (PBE)

Data for an optimized crystal structure of HgP2SeO8.

Lattice parameters (Å, degrees): 4.922 4.922 7.633 95.49 95.49 65.89
Sites, in units of the cell vectors:
O (0.209, 0.684, 0.802)
O (0.316, 0.791, 0.198)
O (0.771, 0.771, 0.056)
O (0.757, 0.757, 0.398)
O (0.229, 0.229, 0.944)
O (0.791, 0.316, 0.198)
O (0.243, 0.243, 0.602)
O (0.684, 0.209, 0.802)
Hg (0.000, 0.000, 0.500)
P (0.666, 0.666, 0.210)
P (0.334, 0.334, 0.790)
Se (0.000, 0.000, 0.000)

Values from the calculation:
Calculated total energy (Ry/atom): -0.4356
DOS(E_F) (states/eV/atom): 0.00
Formation energy (no corrections) (eV/atom): -1.40

## SiHgPO2 (PBE)

Data for an optimized crystal structure of SiHgPO2.

Lattice parameters (Å, degrees): 4.094 4.094 5.153 90.00 90.00 90.00
Sites, in units of the cell vectors:
O (0.500, 0.000, 0.000)
O (0.000, 0.500, 0.000)
Si (0.500, 0.500, 0.500)
P (0.000, 0.000, 0.500)
Hg (0.000, 0.000, 0.000)

Values from the calculation:
Calculated total energy (Ry/atom): -0.2455
DOS(E_F) (states/eV/atom): 0.77
Formation energy (no corrections) (eV/atom): 0.87
E above lowest polymorph (eV per formula unit): 8.30

## SiHgP2O8 (PBE)

Data for an optimized crystal structure of SiHgP2O8.

Lattice parameters (Å, degrees): 4.599 4.599 7.877 73.03 73.03 60.00
Sites, in units of the cell vectors:
O (0.624, 0.241, 0.143)
O (0.806, 0.806, 0.582)
O (0.194, 0.194, 0.418)
O (0.008, 0.376, 0.857)
O (0.376, 0.759, 0.857)
O (0.241, 0.992, 0.143)
O (0.992, 0.624, 0.143)
O (0.759, 0.008, 0.857)
Si (0.000, 0.000, 0.000)
P (0.736, 0.736, 0.792)
P (0.264, 0.264, 0.208)
Hg (0.500, 0.500, 0.500)

Values from the calculation:
Calculated total energy (Ry/atom): -0.4845
DOS(E_F) (states/eV/atom): 0.08
Formation energy (no corrections) (eV/atom): -1.91

## SiHgPO2 (PBE)

Data for an optimized crystal structure of SiHgPO2.

Lattice parameters (Å, degrees): 3.540 3.540 5.307 90.00 90.00 90.00
Sites, in units of the cell vectors:
Hg (0.500, 0.500, 0.500)
O (0.000, 0.500, 0.000)
O (0.500, 0.000, 0.000)
Si (0.000, 0.000, 0.000)
P (0.000, 0.000, 0.500)

Values from the calculation:
Calculated total energy (Ry/atom): -0.3675
DOS(E_F) (states/eV/atom): 0.62
Formation energy (no corrections) (eV/atom): -0.79
E above lowest polymorph (eV per formula unit): 0.00

## SnHgP2O (PBE)

Data for an optimized crystal structure of SnHgP2O.

Lattice parameters (Å, degrees): 5.238 5.238 3.900 90.00 90.00 90.00
Sites, in units of the cell vectors:
P (0.500, 0.000, 0.000)
P (0.000, 0.500, 0.000)
Hg (0.500, 0.500, 0.500)
O (0.000, 0.000, 0.500)
Sn (0.000, 0.000, 0.000)

Values from the calculation:
Calculated total energy (Ry/atom): -0.2637
DOS(E_F) (states/eV/atom): 0.61
Formation energy (no corrections) (eV/atom): 0.43
E above lowest polymorph (eV per formula unit): 0.00

## SnHgP2O (PBE)

Data for an optimized crystal structure of SnHgP2O.

Lattice parameters (Å, degrees): 5.080 5.080 4.123 90.00 90.00 90.00
Sites, in units of the cell vectors:
P (0.000, 0.500, 0.000)
P (0.500, 0.000, 0.000)
O (0.000, 0.000, 0.500)
Hg (0.000, 0.000, 0.000)
Sn (0.500, 0.500, 0.500)

Values from the calculation:
Calculated total energy (Ry/atom): -0.2359
DOS(E_F) (states/eV/atom): 1.08
Formation energy (no corrections) (eV/atom): 0.81
E above lowest polymorph (eV per formula unit): 1.89

## SnHgPO6 (PBE)

Data for an optimized crystal structure of SnHgPO6.

Lattice parameters (Å, degrees): 5.122 5.122 4.863 90.00 90.00 60.00
Each line ends with the local moment (μB).
Sites, in units of the cell vectors:
Sn (0.667, 0.667, 0.500)  -0.01
O (0.350, 0.050, 0.705)  0.14
O (0.050, 0.350, 0.295)  0.14
O (0.601, 0.350, 0.705)  0.14
O (0.601, 0.050, 0.295)  0.14
O (0.050, 0.601, 0.705)  0.14
O (0.350, 0.601, 0.295)  0.14
P (0.333, 0.333, 0.500)  -0.01
Hg (0.000, 0.000, 0.000)  0.04

Values from the calculation:
Calculated total energy (Ry/atom): -0.4085
DOS(E_F) (states/eV/atom): 0.74
Formation energy (no corrections) (eV/atom): -1.17

## SrHgP2O6 (PBE)

Data for an optimized crystal structure of SrHgP2O6.

Lattice parameters (Å, degrees): 6.329 6.329 7.464 64.92 64.92 60.00
Sites, in units of the cell vectors:
P (0.231, 0.231, 0.307)
P (0.769, 0.769, 0.693)
O (0.368, 0.960, 0.305)
O (0.960, 0.367, 0.305)
O (0.367, 0.368, 0.305)
O (0.040, 0.633, 0.695)
O (0.633, 0.632, 0.695)
O (0.632, 0.040, 0.695)
Sr (0.500, 0.500, 0.500)
Hg (0.000, 0.000, 0.000)

Values from the calculation:
Calculated total energy (Ry/atom): -0.4604
DOS(E_F) (states/eV/atom): 0.00
Formation energy (no corrections) (eV/atom): -2.01

## SrHgP2O (PBE)

Data for an optimized crystal structure of SrHgP2O.

Lattice parameters (Å, degrees): 5.090 5.090 4.404 90.00 90.00 90.00
Each line ends with the local moment (μB).
Sites, in units of the cell vectors:
Hg (0.000, 0.000, 0.000)  0.02
Sr (0.500, 0.500, 0.500)  0.02
P (0.500, 0.000, 0.000)  0.28
P (0.000, 0.500, 0.000)  0.28
O (0.000, 0.000, 0.500)  0.30

Values from the calculation:
Calculated total energy (Ry/atom): -0.2488
DOS(E_F) (states/eV/atom): 0.75
Formation energy (no corrections) (eV/atom): 0.17
E above lowest polymorph (eV per formula unit): 0.00

## SrHgP2O (PBE)

Data for an optimized crystal structure of SrHgP2O.

Lattice parameters (Å, degrees): 6.309 6.309 4.480 90.00 90.00 90.00
Each line ends with the local moment (μB).
Sites, in units of the cell vectors:
O (0.000, 0.000, 0.500)  0.61
P (0.000, 0.500, 0.000)  0.98
P (0.500, 0.000, 0.000)  0.98
Sr (0.000, 0.000, 0.000)  0.07
Hg (0.500, 0.500, 0.500)  0.09

Values from the calculation:
Calculated total energy (Ry/atom): -0.2137
DOS(E_F) (states/eV/atom): 0.67
Formation energy (no corrections) (eV/atom): 0.65
E above lowest polymorph (eV per formula unit): 2.39

## TaHgP2O (PBE)

Data for an optimized crystal structure of TaHgP2O.

Lattice parameters (Å, degrees): 4.887 4.887 3.959 90.00 90.00 90.00
Sites, in units of the cell vectors:
P (0.000, 0.500, 0.000)
P (0.500, 0.000, 0.000)
O (0.000, 0.000, 0.500)
Ta (0.500, 0.500, 0.500)
Hg (0.000, 0.000, 0.000)

Values from the calculation:
Calculated total energy (Ry/atom): -0.3166
DOS(E_F) (states/eV/atom): 0.94
Formation energy (no corrections) (eV/atom): 1.28
E above lowest polymorph (eV per formula unit): 8.49

## TaHgP2O (PBE)

Data for an optimized crystal structure of TaHgP2O.

Lattice parameters (Å, degrees): 4.992 4.992 3.883 90.00 90.00 90.00
Sites, in units of the cell vectors:
O (0.000, 0.000, 0.500)
P (0.000, 0.500, 0.000)
P (0.500, 0.000, 0.000)
Hg (0.500, 0.500, 0.500)
Ta (0.000, 0.000, 0.000)

Values from the calculation:
Calculated total energy (Ry/atom): -0.4414
DOS(E_F) (states/eV/atom): 0.63
Formation energy (no corrections) (eV/atom): -0.42
E above lowest polymorph (eV per formula unit): 0.00

## TaHgPO2 (PBE)

Data for an optimized crystal structure of TaHgPO2.

Lattice parameters (Å, degrees): 4.051 4.051 5.094 90.00 90.00 90.00
Each line ends with the local moment (μB).
Sites, in units of the cell vectors:
O (0.500, 0.000, 0.000)  -0.06
O (0.000, 0.500, 0.000)  -0.06
P (0.000, 0.000, 0.500)  -0.07
Ta (0.500, 0.500, 0.500)  0.92
Hg (0.000, 0.000, 0.000)  0.00

Values from the calculation:
Calculated total energy (Ry/atom): -0.3388
DOS(E_F) (states/eV/atom): 0.92
Formation energy (no corrections) (eV/atom): 0.89
E above lowest polymorph (eV per formula unit): 11.46

## TaHgPO6 (PBE)

Data for an optimized crystal structure of TaHgPO6.

Lattice parameters (Å, degrees): 5.045 5.045 4.978 90.00 90.01 60.00
Sites, in units of the cell vectors:
O (0.038, 0.601, 0.699)
O (0.038, 0.361, 0.301)
O (0.601, 0.038, 0.301)
O (0.601, 0.361, 0.699)
O (0.361, 0.038, 0.699)
O (0.361, 0.601, 0.301)
Hg (0.000, 0.000, 0.000)
P (0.333, 0.333, 0.500)
Ta (0.667, 0.667, 0.500)

Values from the calculation:
Calculated total energy (Ry/atom): -0.5201
DOS(E_F) (states/eV/atom): 0.00
Formation energy (no corrections) (eV/atom): -1.82